First-principles (PBE+U) data for an optimized crystal structure of BaDyCr2O8, as listed in Alexandria.

The structure in CIF format:
```
data_BaDyCr2O8
_chemical_formula_sum 'Ba1 Dy1 Cr2 O8'
_space_group_name_H-M_alt 'P -3 m 1'
_space_group_IT_number 164
_space_group_name_Hall '-P 3 2"'
_cell_length_a 5.7019
_cell_length_b 5.7019
_cell_length_c 7.6414
_cell_angle_alpha 90.00
_cell_angle_beta 90.00
_cell_angle_gamma 120.00
loop_
_atom_site_label
_atom_site_fract_x
_atom_site_fract_y
_atom_site_fract_z
Ba1 0.0000 0.0000 0.0000
Dy1 0.0000 0.0000 0.5000
Cr1 0.3333 0.6667 0.7672
O1 0.1699 0.3398 0.6958
O2 0.3333 0.6667 0.9838
```

Values from the calculation:
The calculation puts the electronic total energy at -7.1939 eV/atom. The value obtained for the size of the total moment is 1.00 μB/f.u. Its crystal system is trigonal.